The following is a DFT calculation (PBE) of an optimized crystal structure of CeBiSe2O.

## Properties
DOS at the Fermi energy ... 8.0 states/eV/f.u.
Raw total energy ... -60.2 eV for the cell shown
Formation energy without anion corrections ... -1.673 eV per atom

Structure (POSCAR):
```
CeBiSe2O
1.0
4.1200 0.0000 0.0000
0.0000 4.1200 0.0000
0.0000 0.0000 14.3523
Se Bi Ce O
4 2 2 2
Direct
0.0000 0.5000 0.1044
0.5000 0.0000 0.3168
0.5000 0.0000 0.8956
0.0000 0.5000 0.6832
0.0000 0.5000 0.8760
0.5000 0.0000 0.1240
0.0000 0.5000 0.4170
0.5000 0.0000 0.5830
0.0000 0.0000 0.5000
0.5000 0.5000 0.5000
```

***

The following is a DFT calculation (PBE) of an optimized crystal structure of CeSmBiO2.

## Properties
DOS at the Fermi energy ... 4.6 states/eV/f.u.
Raw total energy ... -37.5 eV for the cell shown
Formation energy without anion corrections ... -2.614 eV per atom

Structure (POSCAR):
```
CeSmBiO2
1.0
-1.5744 -3.1829 1.8577
3.5370 -0.7376 1.7339
-2.7023 5.8182 3.3559
Sm Bi O Ce
1 1 2 1
Direct
0.8389 0.8389 0.6778
0.5007 0.5007 0.0014
0.2488 0.7488 0.4977
0.7488 0.2488 0.4977
0.1627 0.1627 0.3255
```

***

The following is a DFT calculation (PBE) of an optimized crystal structure of Ce4Sm2Bi3O2.

## Properties
DOS at the Fermi energy ... 22.0 states/eV/f.u.
Raw total energy ... -70.6 eV for the cell shown
Formation energy without anion corrections ... -1.441 eV per atom

Structure (POSCAR):
```
Ce4Sm2Bi3O2
1.0
-4.0413 -0.8045 -2.3165
-0.8267 -3.7571 2.7471
-4.0814 10.0522 8.4526
Bi Sm Ce O
3 2 4 2
Direct
0.1801 0.1801 0.3601
0.0000 0.0000 0.0000
0.8199 0.8199 0.6399
0.6971 0.6971 0.3943
0.3029 0.3029 0.6057
0.4139 0.9139 0.8279
0.0861 0.5861 0.1721
0.9139 0.4139 0.8279
0.5861 0.0861 0.1721
0.3971 0.3971 0.7943
0.6029 0.6029 0.2057
```

***

The following is a DFT calculation (PBE) of an optimized crystal structure of CeSmBiO6.

## Properties
Raw total energy ... -64.9 eV for the cell shown
Formation energy without anion corrections ... -2.295 eV per atom

Structure (POSCAR):
```
CeSmBiO6
1.0
4.8672 0.0000 0.0000
0.0000 5.7604 0.0000
0.0000 -2.8802 4.9887
O Ce Sm Bi
6 1 1 1
Direct
0.7409 0.3093 0.9871
0.7409 0.6779 0.6907
0.2591 0.0129 0.6907
0.2591 0.6779 0.9871
0.2591 0.3093 0.3221
0.7409 0.0129 0.3221
0.0000 0.3333 0.6667
0.5000 0.6667 0.3333
0.5000 0.0000 0.0000
```